[1]
VASP calculation (PBE-GGA) on crystalline Zn2W at its relaxed geometry.

a = 5.335 Å, b = 5.335 Å, c = 6.755 Å
α = 76.23°, β = 76.23°, γ = 29.27°
Fractional coordinates of all 6 atoms:
Zn 0.618 0.618 0.275
Zn 0.940 0.940 0.621
Zn 0.666 0.666 0.662
Zn 0.270 0.270 0.947
W 0.998 0.998 0.996
W 0.341 0.341 0.333

Results
energy of formation = 0.22 eV per atom
calculated volume = 45.6 Å³/f.u.
D(E_F) = 3.17 states/eV per cell
SG = Cm, No. 8
ΔE to the lowest computed polymorph = 0.073 eV/atom
total moment = 0.00 μB per formula unit

---

[2]
VASP calculation (PBE-GGA) on crystalline Nb2SnCl2 at its relaxed geometry.

a = 8.074 Å, b = 8.074 Å, c = 3.098 Å
α = 90.00°, β = 90.00°, γ = 90.00°
Fractional coordinates of all 10 atoms:
Nb 0.378 0.878 0.000
Nb 0.878 0.622 0.000
Nb 0.622 0.122 0.000
Nb 0.122 0.378 0.000
Sn 0.000 0.000 0.000
Sn 0.500 0.500 0.000
Cl 0.136 0.636 0.500
Cl 0.636 0.864 0.500
Cl 0.864 0.364 0.500
Cl 0.364 0.136 0.500

Results
formation energy without anion corrections = 101 kJ/mol of formula units
calculated volume = 101.0 Å³/f.u.
D(E_F) = 5.23 states/eV per cell
SG = P4/mbm, No. 127
ΔE to the lowest computed polymorph = 0.276 eV/atom
total moment = 0.00 μB per formula unit

---

[3]
VASP calculation (PBE-GGA) on crystalline PrTm4Hg at its relaxed geometry.

a = 6.290 Å, b = 8.911 Å, c = 8.190 Å
α = 113.32°, β = 100.03°, γ = 112.69°
Fractional coordinates of all 12 atoms:
Pr 0.347 0.597 0.194
Pr 0.653 0.403 0.806
Tm 0.032 0.162 0.764
Tm 0.759 0.713 0.626
Tm 0.232 0.602 0.764
Tm 0.366 0.913 0.626
Tm 0.634 0.087 0.374
Tm 0.768 0.398 0.236
Tm 0.241 0.287 0.374
Tm 0.968 0.838 0.236
Hg 0.250 0.000 0.001
Hg 0.750 0.000 0.999

Results
energy of formation = -0.04 eV per atom
calculated volume = 179.4 Å³/f.u.
D(E_F) = 15.83 states/eV per cell
SG = C2/c, No. 15
ΔE to the lowest computed polymorph = 0.092 eV/atom
total moment = 0.00 μB per formula unit

---

[4]
VASP calculation (PBE-GGA) on crystalline HoUCo4 at its relaxed geometry.

a = 4.968 Å, b = 4.968 Å, c = 4.968 Å
α = 60.00°, β = 60.00°, γ = 60.00°
Last column: magnetic moment on the atom in μB.
Fractional coordinates of all 6 atoms:
Co 0.625 0.625 0.126  0.60
Co 0.625 0.126 0.625  0.60
Co 0.625 0.625 0.625  0.60
Co 0.126 0.625 0.625  0.60
U 0.250 0.250 0.250  -1.77
Ho 0.000 0.000 0.000  -0.24

Results
energy of formation = -0.15 eV per atom
calculated volume = 86.7 Å³/f.u.
D(E_F) = 9.98 states/eV per cell
SG = F-43m, No. 216
total moment = 0.20 μB per formula unit

---

[5]
VASP calculation (PBE-GGA) on crystalline Rb2SrGeTe at its relaxed geometry.

a = 6.879 Å, b = 5.578 Å, c = 6.879 Å
α = 90.00°, β = 90.00°, γ = 90.00°
Fractional coordinates of all 5 atoms:
Sr 0.500 0.500 0.500
Ge 0.000 0.000 0.000
Te 0.000 0.500 0.000
Rb 0.000 0.000 0.500
Rb 0.500 0.000 0.000

Results
formation energy without anion corrections = 39 kJ/mol of formula units
calculated volume = 263.9 Å³/f.u.
D(E_F) = 3.18 states/eV per cell
SG = P4/mmm, No. 123
total moment = 0.00 μB per formula unit

---

[6]
VASP calculation (PBE-GGA) on crystalline Cr2RhCl2 at its relaxed geometry.

a = 3.976 Å, b = 3.976 Å, c = 5.746 Å
α = 69.76°, β = 69.76°, γ = 90.00°
Fractional coordinates of all 5 atoms:
Cr 0.408 0.408 0.184
Cr 0.592 0.592 0.816
Rh 0.000 0.000 0.000
Cl 0.750 0.250 0.500
Cl 0.250 0.750 0.500

Results
formation energy without anion corrections = 238 kJ/mol of formula units
calculated volume = 79.2 Å³/f.u.
D(E_F) = 3.62 states/eV per cell
SG = I4/mmm, No. 139
ΔE to the lowest computed polymorph = 0.073 eV/atom
total moment = 0.00 μB per formula unit

---

[7]
VASP calculation (PBE-GGA) on crystalline Ga2Sb2Pt at its relaxed geometry.

a = 6.706 Å, b = 6.706 Å, c = 4.676 Å
α = 90.00°, β = 90.00°, γ = 90.00°
Fractional coordinates of all 10 atoms:
Sb 0.189 0.689 0.500
Sb 0.689 0.811 0.500
Sb 0.811 0.311 0.500
Sb 0.311 0.189 0.500
Ga 0.365 0.865 0.000
Ga 0.865 0.635 0.000
Ga 0.635 0.135 0.000
Ga 0.135 0.365 0.000
Pt 0.000 0.000 0.000
Pt 0.500 0.500 0.000

Results
formation energy without anion corrections = 1 kJ/mol of formula units
calculated volume = 105.2 Å³/f.u.
D(E_F) = 2.28 states/eV per cell
SG = P4/mbm, No. 127
ΔE to the lowest computed polymorph = 0.000 eV/atom
total moment = 0.00 μB per formula unit

---

[8]
VASP calculation (PBE-GGA) on crystalline CoB at its relaxed geometry.

a = 2.524 Å, b = 6.210 Å, c = 4.112 Å
α = 90.00°, β = 90.00°, γ = 90.00°
Last column: magnetic moment on the atom in μB.
Fractional coordinates of all 8 atoms:
B 0.500 0.000 0.774  -0.01
B 0.500 0.000 0.226  -0.01
B 0.000 0.500 0.274  -0.01
B 0.000 0.500 0.726  -0.01
Co 0.000 0.203 0.500  0.17
Co 0.000 0.797 0.500  0.17
Co 0.500 0.703 0.000  0.17
Co 0.500 0.297 0.000  0.17

Results
energy of formation = -0.25 eV per atom
calculated volume = 16.1 Å³/f.u.
D(E_F) = 8.25 states/eV per cell
SG = Immm, No. 71
total moment = 0.16 μB per formula unit

---

[9]
VASP calculation (PBE-GGA) on crystalline PrErPd2 at its relaxed geometry.

a = 3.817 Å, b = 4.606 Å, c = 5.687 Å
α = 90.00°, β = 109.61°, γ = 90.00°
Fractional coordinates of all 4 atoms:
Pr 0.721 0.000 0.982
Er 0.448 0.500 0.435
Pd 0.166 0.500 0.871
Pd 0.995 0.000 0.530

Results
energy of formation = -0.85 eV per atom
calculated volume = 94.2 Å³/f.u.
D(E_F) = 2.53 states/eV per cell
SG = Amm2, No. 38
ΔE to the lowest computed polymorph = 0.000 eV/atom
total moment = 0.00 μB per formula unit

---

[10]
VASP calculation (PBE-GGA) on crystalline HgPtSe2 at its relaxed geometry.

a = 3.082 Å, b = 3.082 Å, c = 9.447 Å
α = 90.00°, β = 90.00°, γ = 108.47°
Fractional coordinates of all 4 atoms:
Hg 0.000 0.000 0.524
Pt 0.500 0.500 0.753
Se 0.000 0.000 0.942
Se 0.500 0.500 0.281

Results
formation energy without anion corrections = 100 kJ/mol of formula units
calculated volume = 85.1 Å³/f.u.
D(E_F) = 2.20 states/eV per cell
SG = Cmm2, No. 35
ΔE to the lowest computed polymorph = 0.553 eV/atom
total moment = 0.00 μB per formula unit

---

[11]
VASP calculation (PBE-GGA) on crystalline BaGeH2Cl8 at its relaxed geometry.

a = 7.070 Å, b = 6.748 Å, c = 8.479 Å
α = 114.70°, β = 79.09°, γ = 103.70°
Fractional coordinates of all 12 atoms:
Ba 0.000 0.000 0.500
Ge 0.000 0.000 0.000
H 0.367 0.260 0.778
H 0.633 0.740 0.222
Cl 0.129 0.794 0.104
Cl 0.694 0.781 0.002
Cl 0.921 0.249 0.288
Cl 0.871 0.206 0.896
Cl 0.306 0.219 0.998
Cl 0.079 0.751 0.712
Cl 0.585 0.714 0.376
Cl 0.415 0.286 0.624

Results
total energy = -41.00 eV per cell
calculated volume = 355.1 Å³/f.u.
D(E_F) = 0.00 states/eV per cell
SG = P-1, No. 2
total moment = 0.00 μB per formula unit

---

[12]
VASP calculation (PBE-GGA) on crystalline SrLiP2 at its relaxed geometry.

a = 5.694 Å, b = 5.694 Å, c = 5.694 Å
α = 136.92°, β = 136.92°, γ = 62.56°
Fractional coordinates of all 4 atoms:
Li 0.750 0.250 0.500
P 0.000 0.000 0.000
P 0.250 0.750 0.500
Sr 0.500 0.500 0.000

Results
energy of formation = -0.22 eV per atom
calculated volume = 85.1 Å³/f.u.
D(E_F) = 4.24 states/eV per cell
SG = I-4m2, No. 119
ΔE to the lowest computed polymorph = 0.507 eV/atom
total moment = 0.00 μB per formula unit

---

Number 7 is which compound?
Ga2Sb2Pt